This record from Alexandria describes crystalline PmBi2Te at its relaxed geometry. The functional is PBE. Values from VASP.

## Properties
Magnetic moment in μB per formula unit: 0.0
Crystal system: tetragonal
Energy in eV/atom: -4.45
Uncorrected formation energy in eV per formula unit: -2.16
Relative energy among the computed polymorphs in meV/atom: 167

The structure in Quantum ESPRESSO input format:
```
&SYSTEM
  ibrav = 0, nat = 4, ntyp = 3
/
ATOMIC_SPECIES
Pm 145.00 Pm.upf
Bi 208.98 Bi.upf
Te 127.60 Te.upf
CELL_PARAMETERS angstrom
4.5355 0.0000 0.0000
0.0000 4.5355 0.0000
0.0000 0.0000 6.1097
ATOMIC_POSITIONS crystal
Pm 0.0000 0.0000 0.0000
Bi 0.0000 0.5000 0.5000
Bi 0.5000 0.0000 0.5000
Te 0.5000 0.5000 0.0000
```